Density functional theory data (GGA-PBE) for crystalline LuSc2Ge at its relaxed geometry.

Summary:
E_tot ... -21.91 eV per cell
M_tot ... 0.02 Bohr magnetons per cell
Space-group type ... No. 166
Calculated formation energy ... -0.1 eV per formula unit
DOS(E_F) ... 1.565 states/eV per atom
Polymorph energy (0 for the lowest one) ... 31.5 kJ/mol of atoms

Lattice parameters (Å, degrees): 3.334 3.334 10.479 80.85 80.85 60.00
Atoms (fractional coordinates):
Sc  0.102  0.102  0.693
Sc  0.898  0.898  0.307
Ge  0.500  0.500  0.500
Lu  0.000  0.000  0.000